Here is a relaxed NpTl2NiS4 crystal from the Alexandria database. Energies are from PBE.

- Uncorrected formation energy: -0.5716 eV/atom
- Total moment: 3.0 μB/f.u.

Cell lengths 10.5721, 10.5876, 8.0613 Å; angles 90.00, 114.90, 90.00 degrees
Closest atoms and distances in Å follow each position.
Space group C2/c (No. 15)
Inequivalent atoms, fractional coordinates:
Np: 0.0000 0.0000 0.0000 (multiplicity 4)  6 S 2.60-2.76
Tl: 0.0000 0.5000 0.0000 (multiplicity 4)  4 S 2.96-3.09
Tl: 0.2500 0.2500 0.0000 (multiplicity 4)  4 S 3.03-3.25
Ni: 0.2500 0.2500 0.5000 (multiplicity 4)  4 S 2.22-2.30
S: 0.0792 0.2325 0.5909 (multiplicity 8)  1 Ni 2.22
S: 0.1851 0.0588 0.3522 (multiplicity 8)  1 Ni 2.30


Here is a relaxed PmHgRhPb crystal from the Alexandria database. Energies are from PBE.

- Total moment: 0.0 μB/f.u.
- Energy relative to the elements: -0.31 eV per atom

Cell lengths 7.1905, 7.1905, 7.1905 Å; angles 90.00, 90.00, 90.00 degrees
Closest atoms and distances in Å follow each position.
Space group F-43m (No. 216)
Inequivalent atoms, fractional coordinates:
Pm: 0.0000 0.0000 0.0000 (multiplicity 4)  4 Hg 3.11, 4 Rh 3.11
Hg: 0.2500 0.2500 0.2500 (multiplicity 4)  4 Pb 3.11, 4 Pm 3.11
Rh: 0.2500 0.2500 0.7500 (multiplicity 4)  4 Pb 3.11, 4 Pm 3.11
Pb: 0.0000 0.0000 0.5000 (multiplicity 4)  4 Hg 3.11, 4 Rh 3.11


- What is the total moment in the first record?
  3.0 μB/f.u.